[1]
DFT (PBE) results for a relaxed structure of La2CrFe.

Results
Energy above the lowest structure with this stoichiometry ... 5.97 kcal/mol of atoms
SG ... R-3m

Cell lengths 8.920, 8.920, 8.920 Å; angles 23.59, 23.59, 23.59 degrees
Each line ends with the local moment (μB).
Fractional positions:
La 0.492 0.492 0.492  0.21
La 0.008 0.008 0.008  0.21
Cr 0.250 0.250 0.250  -3.52
Fe 0.750 0.750 0.750  -1.88

[2]
DFT (PBE) results for a relaxed structure of Y5Mg4Pd.

Results
SG ... P4/mmm

Cell lengths 3.721, 3.721, 18.831 Å; angles 90.00, 90.00, 90.00 degrees
Fractional positions:
Y 0.500 0.500 0.293
Y 0.500 0.500 0.913
Y 0.500 0.500 0.707
Mg 0.000 0.000 0.396
Mg 0.000 0.000 0.808
Pd 0.000 0.000 0.000
Mg 0.000 0.000 0.192
Y 0.500 0.500 0.500
Y 0.500 0.500 0.087
Mg 0.000 0.000 0.604

[3]
DFT (PBE) results for a relaxed structure of Li4EuMg.

Results
SG ... F-43m

Cell lengths 5.868, 5.868, 5.868 Å; angles 60.00, 60.00, 60.00 degrees
Each line ends with the local moment (μB).
Fractional positions:
Eu 0.250 0.250 0.250  7.01
Li 0.627 0.627 0.627  0.03
Li 0.119 0.627 0.627  0.03
Li 0.627 0.119 0.627  0.03
Li 0.627 0.627 0.119  0.03
Mg 0.000 0.000 0.000  0.02

One value per record, in order, for total DFT energy (no corrections): -25.5, -46.5, -19.5 eV/cell.
One value per record, in order, for energy of formation: 0.617, -0.257, -0.004 eV per atom.
One value per record, in order, for M_tot: 1.235, 0.000, 1.380 μB/atom.